--- one ---
Entry from Alexandria via LeMat-Bulk: a relaxed structure of ScAl3Sb (GGA-PBE).

Geometry as POSCAR:
```
ScAl3Sb
1.0
5.2116 0.0000 0.0000
0.0000 5.2116 0.0000
0.0000 0.0000 5.2116
Sc Al Sb
1 3 1
direct
0.5000 0.5000 0.5000 Sc
0.0000 0.0000 0.5000 Al
0.5000 0.0000 0.0000 Al
0.0000 0.5000 0.0000 Al
0.0000 0.0000 0.0000 Sb
```

Values from the calculation:
Symmetry: No. 221
Size of the total moment: 0.000 μB per atom

=====

--- two ---
Entry from Alexandria via LeMat-Bulk: a relaxed structure of ScAl3Sb (GGA-PBE).

Geometry as POSCAR:
```
ScAl3Sb
1.0
5.2456 0.0000 0.0000
0.0000 5.2456 0.0000
0.0000 0.0000 5.2456
Sc Al Sb
1 3 1
direct
0.0000 0.0000 0.0000 Sc
0.5000 0.0000 0.0000 Al
0.0000 0.5000 0.0000 Al
0.0000 0.0000 0.5000 Al
0.5000 0.5000 0.5000 Sb
```

Values from the calculation:
Symmetry: No. 221
Size of the total moment: 0.219 μB per atom

=====

Order from most stable to least stable according to the calculation: one, two

=====

--- one ---
Entry from Alexandria via LeMat-Bulk: a relaxed structure of Al2SbSe (GGA-PBE).

Geometry as POSCAR:
```
Al2SbSe
1.0
-0.8251 5.1651 2.0699
1.0880 0.1620 5.5167
2.2065 -0.9326 -5.0897
Sb Al Se
1 2 1
direct
0.2500 0.7500 0.5000 Sb
0.5246 0.5246 0.0000 Al
0.9754 0.9754 0.0000 Al
0.7500 0.2500 0.5000 Se
```

Values from the calculation:
Symmetry: No. 71
Size of the total moment: 0.000 μB per atom

=====

--- two ---
Entry from Alexandria via LeMat-Bulk: a relaxed structure of Al2SbSe (GGA-PBE).

Geometry as POSCAR:
```
Al2SbSe
1.0
9.7563 0.0374 0.0221
9.0817 3.5650 0.0221
9.0817 1.7367 3.1134
Sb Al Se
1 2 1
direct
0.4733 0.4733 0.4733 Sb
0.7399 0.7399 0.7399 Al
0.9994 0.9994 0.9994 Al
0.2874 0.2874 0.2874 Se
```

Values from the calculation:
Symmetry: No. 160
Size of the total moment: 0.000 μB per atom

=====

--- three ---
Entry from Alexandria via LeMat-Bulk: a relaxed structure of Al2SbSe (GGA-PBE).

Geometry as POSCAR:
```
Al2SbSe
1.0
4.9304 0.0000 0.0000
0.0000 4.9304 0.0000
0.0000 0.0000 3.4436
Se Al Sb
1 2 1
direct
0.0000 0.5000 0.5000 Se
0.5000 0.5000 0.0000 Al
0.0000 0.0000 0.0000 Al
0.5000 0.0000 0.5000 Sb
```

Values from the calculation:
Symmetry: No. 123
Size of the total moment: 0.000 μB per atom

=====

--- four ---
Entry from Alexandria via LeMat-Bulk: a relaxed structure of Al2SbSe (GGA-PBE).

Geometry as POSCAR:
```
Al2SbSe
1.0
5.5103 0.0000 0.0000
0.0000 4.0064 -0.0430
0.0000 0.0986 4.0780
Al Se Sb
2 1 1
direct
0.5000 0.3648 0.2918 Al
0.0000 0.8783 0.9043 Al
0.5000 0.8761 0.8893 Se
0.0000 0.3809 0.4147 Sb
```

Values from the calculation:
Symmetry: No. 6
Size of the total moment: 0.000 μB per atom

=====

Order from most stable to least stable according to the calculation: four, two, three, one

=====

--- one ---
Entry from Alexandria via LeMat-Bulk: a relaxed structure of Al2SbSe (GGA-PBE).

Geometry as POSCAR:
```
Al2SbSe
1.0
0.0000 3.4679 3.4679
3.4679 0.0000 3.4679
3.4679 3.4679 0.0000
Al Sb Se
2 1 1
direct
0.7500 0.7500 0.7500 Al
0.2500 0.2500 0.2500 Al
0.5000 0.5000 0.5000 Sb
0.0000 0.0000 0.0000 Se
```

Values from the calculation:
Symmetry: No. 225
Size of the total moment: 0.000 μB per atom

=====

--- two ---
Entry from Alexandria via LeMat-Bulk: a relaxed structure of Al2SbSe (GGA-PBE).

Geometry as POSCAR:
```
Al2SbSe
1.0
3.6667 0.0000 0.0000
0.0000 5.1690 -0.0219
0.0000 2.0878 4.7291
Al Sb Se
2 1 1
direct
0.0000 0.9857 0.9857 Al
0.0000 0.5143 0.5143 Al
0.5000 0.2500 0.2500 Sb
0.5000 0.7500 0.7500 Se
```

Values from the calculation:
Symmetry: No. 65
Size of the total moment: 0.000 μB per atom

=====

Order from most stable to least stable according to the calculation: two, one

=====

--- one ---
Entry from Alexandria via LeMat-Bulk: a relaxed structure of Al2SbSe (GGA-PBE).

Geometry as POSCAR:
```
Al2SbSe
1.0
-4.2148 4.6312 -0.4419
-5.2285 0.6946 3.4041
6.1517 -1.1808 0.4129
Sb Se Al
1 1 2
direct
0.5000 0.5000 0.0000 Sb
0.7500 0.2500 0.5000 Se
0.2500 0.7500 0.5000 Al
0.0000 0.0000 0.0000 Al
```

Values from the calculation:
Symmetry: No. 119
Size of the total moment: 0.000 μB per atom

=====

--- two ---
Entry from Alexandria via LeMat-Bulk: a relaxed structure of Al2SbSe (GGA-PBE).

Geometry as POSCAR:
```
Al2SbSe
1.0
-3.1751 -1.6555 0.0870
2.4268 -1.6041 -2.0897
2.3503 -4.1950 5.9495
Al Sb Se
2 1 1
direct
0.0000 0.0000 0.5178 Al
0.0000 0.0000 0.9822 Al
0.5000 0.5000 0.2500 Sb
0.5000 0.5000 0.7500 Se
```

Values from the calculation:
Symmetry: No. 65
Size of the total moment: 0.000 μB per atom

=====

--- three ---
Entry from Alexandria via LeMat-Bulk: a relaxed structure of Al2SbSe (GGA-PBE).

Geometry as POSCAR:
```
Al2SbSe
1.0
3.1377 0.0000 0.0000
0.0000 3.1377 0.0000
0.0000 0.0000 9.2966
Sb Al Se
1 2 1
direct
0.0000 0.0000 0.4527 Sb
0.0000 0.0000 0.9973 Al
0.5000 0.5000 0.2068 Al
0.5000 0.5000 0.8433 Se
```

Values from the calculation:
Symmetry: No. 99
Size of the total moment: 0.000 μB per atom

=====

Order from most stable to least stable according to the calculation: three, two, one